RuS3Cl8: relaxed, PBEsol.

abc: 7.679 8.207 10.527
angles: 103.40 97.50 109.59
Fractional positions:
S 0.671 0.665 0.916
S 0.329 0.335 0.084
S 0.029 0.369 0.282
S 0.665 0.797 0.654
S 0.335 0.203 0.346
S 0.971 0.631 0.718
Cl 0.884 0.122 0.969
Cl 0.221 0.531 0.461
Cl 0.952 0.437 0.816
Cl 0.116 0.878 0.031
Cl 0.487 0.441 0.762
Cl 0.513 0.559 0.238
Cl 0.528 0.231 0.031
Cl 0.499 0.058 0.294
Cl 0.228 0.095 0.491
Cl 0.772 0.905 0.509
Cl 0.144 0.032 0.764
Cl 0.856 0.968 0.236
Cl 0.048 0.563 0.184
Cl 0.779 0.469 0.539
Cl 0.501 0.942 0.706
Cl 0.472 0.769 0.969
Ru 0.885 0.843 0.831
Ru 0.115 0.157 0.169

Crystal system: triclinic
E_form (uncorrected) (eV/atom): -0.344
Space-group type: P-1 (2)

LiMnPO4: relaxed, PBEsol.

abc: 5.921 6.546 9.470
angles: 72.68 82.42 79.50
Fractional positions:
O 0.536 0.739 0.931
O 0.820 0.285 0.552
O 0.281 0.822 0.150
O 0.180 0.715 0.448
O 0.315 0.875 0.632
O 0.464 0.261 0.069
O 0.789 0.948 0.114
O 0.719 0.178 0.850
O 0.734 0.522 0.298
O 0.211 0.052 0.886
O 0.685 0.125 0.368
O 0.920 0.787 0.672
O 0.080 0.213 0.328
O 0.126 0.668 0.971
O 0.874 0.332 0.029
O 0.266 0.478 0.702
Li 0.603 0.797 0.719
Li 0.556 0.313 0.683
Li 0.397 0.203 0.281
Li 0.444 0.687 0.317
Mn 0.794 0.644 0.069
Mn 0.012 0.070 0.715
Mn 0.206 0.356 0.931
Mn 0.988 0.930 0.285
P 0.832 0.288 0.387
P 0.289 0.820 0.987
P 0.711 0.180 0.013
P 0.168 0.712 0.613

Crystal system: triclinic
Offset from the most stable computed form (eV per formula unit): 0.28
E_form (uncorrected) (eV/atom): -2.033
Space-group type: P-1 (2)

MgCdBi2: relaxed, PBEsol.

abc: 5.294 5.294 5.294
angles: 60.00 60.00 60.00
Fractional positions:
Bi 0.750 0.750 0.750
Bi 0.250 0.250 0.250
Cd 0.500 0.500 0.500
Mg 0.000 0.000 0.000

Crystal system: cubic
Formation energy (kcal/mol of atoms): 0.716
Space-group type: Fm-3m (225)

Cu2Ir: relaxed, PBEsol.

abc: 2.637 4.292 6.760
angles: 90.00 101.25 90.00
Fractional positions:
Cu 0.945 0.750 0.890
Cu 0.603 0.750 0.206
Cu 0.397 0.250 0.794
Cu 0.055 0.250 0.110
Ir 0.725 0.250 0.449
Ir 0.275 0.750 0.551

Crystal system: orthorhombic
Offset from the most stable computed form (eV per formula unit): 0.06
Formation energy (kcal/mol of atoms): 2.009
Space-group type: Cmcm (63)

TaBI3: relaxed, PBEsol.

abc: 4.888 4.888 4.888
angles: 90.00 90.00 90.00
Fractional positions:
I 0.500 0.000 0.000
I 0.000 0.500 0.000
I 0.000 0.000 0.500
Ta 0.500 0.500 0.500
B 0.000 0.000 0.000

Crystal system: cubic
E_form (uncorrected) (eV/atom): 1.359
Space-group type: Pm-3m (221)

Tb3Ge5: relaxed, PBEsol.

abc: 5.699 7.381 9.026
angles: 83.00 71.60 67.29
Fractional positions:
Tb 0.059 0.517 0.337
Tb 0.999 0.003 0.500
Tb 0.336 0.017 0.837
Tb 0.423 0.517 0.663
Tb 0.749 0.503 0.000
Tb 0.647 0.017 0.163
Ge 0.500 0.677 0.326
Ge 0.298 0.405 0.000
Ge 0.822 0.677 0.674
Ge 0.969 0.811 0.868
Ge 0.220 0.811 0.132
Ge 0.602 0.311 0.368
Ge 0.548 0.905 0.500
Ge 0.087 0.311 0.632
Ge 0.746 0.177 0.826
Ge 0.077 0.177 0.174

Crystal system: orthorhombic
Formation energy (kcal/mol of atoms): -18.308
Space-group type: Fdd2 (43)

TeP2Os: relaxed, PBEsol.

abc: 3.168 3.641 6.824
angles: 105.47 103.43 90.00
Fractional positions:
Os 0.261 0.761 0.521
Te 0.418 0.418 0.837
P 0.719 0.219 0.439
P 0.102 0.102 0.203

Crystal system: orthorhombic
Offset from the most stable computed form (eV per formula unit): 1.02
E_form (uncorrected) (eV/atom): 0.263
Space-group type: Imm2 (44)

LaAg3C: relaxed, PBEsol.

abc: 5.642 5.642 5.642
angles: 90.00 90.00 90.00
Fractional positions:
C 0.500 0.500 0.500
Ag 0.000 0.000 0.500
Ag 0.000 0.500 0.000
Ag 0.500 0.000 0.000
La 0.000 0.000 0.000

Crystal system: cubic
Formation energy (kcal/mol of atoms): 58.286
Space-group type: Pm-3m (221)

| no. | V (Å³/atom) | M_tot (μB per atom) |
| --- | --- | --- |
| 1 | 24.67 | 0.000 |
| 2 | 12.26 | 0.714 |
| 3 | 26.22 | 0.000 |
| 4 | 12.50 | 0.000 |
| 5 | 23.36 | 0.529 |
| 6 | 20.77 | 0.000 |
| 7 | 18.41 | 0.000 |
| 8 | 35.91 | 0.372 |